10
Lattice="-3.163 7.437 2.567 3.163 -7.437 2.567 3.163 7.437 -2.567" Properties=species:S:1:pos:R:3 comment="Pr2IrW2 PBE relaxed" e_form_ev_per_atom=0.18 dft_energy_ev_per_cell=-86.84 magmom_total_mub_per_cell=0.01 sg="Ibam, No. 72" pbc="T T T"
Pr 1.358 2.503 0.000
Pr 1.358 -2.503 2.567
Pr 1.805 9.940 0.000
Pr 1.805 4.934 2.567
Ir 0.000 0.000 1.283
Ir 0.000 0.000 3.850
W 4.128 0.773 0.000
W 0.966 6.664 0.000
W 2.197 0.773 2.567
W -0.966 6.664 2.567


3
Lattice="0.000 3.378 3.378 3.378 0.000 3.378 3.378 3.378 0.000" Properties=species:S:1:pos:R:3 comment="PrYIr PBE relaxed" relative_energy_mev_per_atom=774.9 e_form_ev_per_atom=0.19 dft_energy_ev_per_cell=-19.53 magmom_total_mub_per_cell=0.00 sg="F-43m, No. 216" pbc="T T T"
Pr 0.000 0.000 0.000
Y 5.067 5.067 5.067
Ir 3.378 3.378 3.378